YBe GGA-PBE relaxed; crystal system = cubic; formation enthalpy at 0 K = 1.2060 eV per atom; energy above the lowest structure with this stoichiometry = 1164 meV per atom; magnetic moment = 0.01 Bohr magnetons per cell; symmetry = F-43m
1.0
-2.679 -0.338 3.439
-0.367 -3.806 2.120
1.653 -0.429 4.025
Y Be
1 1
Direct
0.750 0.750 0.750 Y
0.000 0.000 0.000 Be

=====

YBe GGA-PBE relaxed; crystal system = orthorhombic; formation enthalpy at 0 K = 0.1206 eV per atom; energy above the lowest structure with this stoichiometry = 79 meV per atom; magnetic moment = 0.12 Bohr magnetons per cell; symmetry = Imm2
1.0
5.760 -2.452 -0.377
3.895 4.719 -1.378
-3.927 -2.311 4.310
Y Be
3 3
Direct
0.517 0.194 0.323 Y
0.004 0.500 0.504 Y
0.129 0.806 0.323 Y
0.575 0.500 0.075 Be
0.620 0.899 0.721 Be
0.822 0.101 0.721 Be

=====

YBe GGA-PBE relaxed; crystal system = trigonal; formation enthalpy at 0 K = 0.4507 eV per atom; energy above the lowest structure with this stoichiometry = 409 meV per atom; magnetic moment = 0.00 Bohr magnetons per cell; symmetry = P-3m1
1.0
3.579 0.000 0.000
-1.790 3.100 0.000
0.000 0.000 8.086
Y Be
2 2
Direct
0.000 0.000 0.438 Y
0.667 0.333 0.812 Y
0.000 0.000 0.068 Be
0.667 0.333 0.182 Be

=====

Y3Be4 GGA-PBE relaxed; crystal system = tetragonal; formation enthalpy at 0 K = 0.2892 eV per atom; energy above the lowest structure with this stoichiometry = 0 meV per atom; magnetic moment = 0.00 Bohr magnetons per cell; symmetry = I4/mmm
1.0
-1.545 1.545 13.113
1.545 -1.545 13.113
1.545 1.545 -13.113
Y Be
3 4
Direct
0.000 0.000 0.000 Y
0.694 0.694 0.000 Y
0.306 0.306 0.000 Y
0.886 0.886 0.000 Be
0.114 0.114 0.000 Be
0.579 0.579 0.000 Be
0.421 0.421 0.000 Be

=====

Y5Be4 GGA-PBE relaxed; crystal system = tetragonal; formation enthalpy at 0 K = 0.4467 eV per atom; energy above the lowest structure with this stoichiometry = 236 meV per atom; magnetic moment = 0.00 Bohr magnetons per cell; symmetry = I4/mmm
1.0
-4.626 4.626 2.187
4.626 -4.626 2.187
4.626 4.626 -2.187
Y Be
5 4
Direct
0.000 0.000 0.000 Y
0.675 0.325 0.000 Y
0.325 0.675 0.000 Y
0.325 0.325 0.650 Y
0.675 0.675 0.350 Y
0.625 0.000 0.625 Be
0.375 0.000 0.375 Be
0.000 0.375 0.375 Be
0.000 0.625 0.625 Be

=====

YBeZn GGA-PBE relaxed; crystal system = tetragonal; formation enthalpy at 0 K = 0.0423 eV per atom; energy above the lowest structure with this stoichiometry = 233 meV per atom; magnetic moment = 0.00 Bohr magnetons per cell; symmetry = I4mm
1.0
-3.501 3.250 -3.190
-3.704 0.325 -4.379
-2.881 -0.316 1.270
Y Be Zn
1 1 1
Direct
0.339 0.339 0.661 Y
0.029 0.029 0.971 Be
0.633 0.633 0.367 Zn

=====

Y2BeZn GGA-PBE relaxed; crystal system = tetragonal; formation enthalpy at 0 K = 0.1156 eV per atom; energy above the lowest structure with this stoichiometry = 254 meV per atom; magnetic moment = 0.00 Bohr magnetons per cell; symmetry = I-4m2
1.0
5.718 -0.006 0.000
2.641 5.071 0.000
-4.180 -2.533 2.968
Y Be Zn
2 1 1
Direct
0.000 0.000 0.000 Y
0.250 0.750 0.500 Y
0.750 0.250 0.500 Be
0.500 0.500 0.000 Zn

=====

YBeZn GGA-PBE relaxed; crystal system = cubic; formation enthalpy at 0 K = 0.0550 eV per atom; energy above the lowest structure with this stoichiometry = 246 meV per atom; magnetic moment = 0.00 Bohr magnetons per cell; symmetry = F-43m
1.0
-0.581 3.753 -2.143
-3.543 2.423 0.768
0.371 3.797 2.113
Y Be Zn
1 1 1
Direct
0.000 0.000 0.000 Y
0.250 0.250 0.250 Be
0.500 0.500 0.500 Zn

=====

Y2BeZn GGA-PBE relaxed; crystal system = cubic; formation enthalpy at 0 K = 0.4053 eV per atom; energy above the lowest structure with this stoichiometry = 543 meV per atom; magnetic moment = 0.90 Bohr magnetons per cell; symmetry = F-43m
1.0
4.943 0.000 0.000
2.471 4.280 0.000
2.471 1.427 4.036
Y Be Zn
2 1 1
Direct
0.000 0.000 0.000 Y
0.250 0.250 0.250 Y
0.500 0.500 0.500 Be
0.750 0.750 0.750 Zn

=====

Y2BeZn GGA-PBE relaxed; crystal system = tetragonal; formation enthalpy at 0 K = 0.3212 eV per atom; energy above the lowest structure with this stoichiometry = 459 meV per atom; magnetic moment = 0.00 Bohr magnetons per cell; symmetry = I-42d
1.0
7.537 0.000 0.000
0.000 7.537 0.000
3.768 3.768 3.446
Y Be Zn
4 2 2
Direct
0.605 0.125 0.250 Y
0.145 0.625 0.250 Y
0.375 0.395 0.750 Y
0.875 0.855 0.750 Y
0.500 0.500 0.000 Be
0.250 0.750 0.500 Be
0.000 0.000 0.000 Zn
0.750 0.250 0.500 Zn

=====

YBeZn3 GGA-PBE relaxed; crystal system = cubic; formation enthalpy at 0 K = 1.3643 eV per atom; energy above the lowest structure with this stoichiometry = 1452 meV per atom; magnetic moment = 0.00 Bohr magnetons per cell; symmetry = Pm-3m
1.0
-4.982 0.227 -2.542
-2.552 -0.323 4.972
0.055 5.584 0.391
Y Be Zn
1 1 3
Direct
0.000 0.000 0.000 Y
0.500 0.500 0.500 Be
0.000 0.500 0.000 Zn
0.000 0.000 0.500 Zn
0.500 0.000 0.000 Zn

=====

YBeZn GGA-PBE relaxed; crystal system = cubic; formation enthalpy at 0 K = 0.6131 eV per atom; energy above the lowest structure with this stoichiometry = 804 meV per atom; magnetic moment = 0.00 Bohr magnetons per cell; symmetry = F-43m
1.0
-2.682 -0.423 -3.708
1.543 -2.231 -3.710
-1.755 -4.100 -1.111
Y Be Zn
1 1 1
Direct
0.250 0.250 0.250 Y
0.500 0.500 0.500 Be
0.000 0.000 0.000 Zn